Record 1
Compound: Ru2AuCl
Source: the Alexandria database
Functional: PBE-GGA
Structure: optimized geometry

```
Ru2AuCl
1.0
2.9427 0.0000 0.0000
0.0000 2.9427 0.0000
0.0000 0.0000 7.0630
Ru Au Cl
2 1 1
Cartesian
0.0000 0.0000 1.6246 Ru
0.0000 0.0000 5.4384 Ru
1.4713 1.4713 3.5315 Au
1.4713 1.4713 0.0000 Cl
```

Values from the calculation:
The formation energy without anion corrections is 77 kJ per mole of atoms. As for the space group: P4/mmm (123). As for the magnetization: 0.28 μB/atom.

=====

Record 2
Compound: RuAu2Cl
Source: the Alexandria database
Functional: PBE-GGA
Structure: optimized geometry

```
RuAu2Cl
1.0
-1.4094 2.0779 6.3857
1.4094 -2.0779 6.3857
1.4094 2.0779 -6.3857
Ru Au Cl
1 2 1
Cartesian
0.0000 0.0000 0.0000 Ru
1.4094 0.0000 2.4643 Au
0.0000 2.0779 3.9214 Au
0.0000 0.0000 6.3857 Cl
```

Values from the calculation:
The formation energy without anion corrections is 41 kJ per mole of atoms. As for the space group: Immm (71). As for the magnetization: 0.00 μB/atom.

=====

Record 3
Compound: Ru2AuCl
Source: the Alexandria database
Functional: PBE-GGA
Structure: optimized geometry

```
Ru2AuCl
1.0
1.4115 -2.4809 0.0000
1.4115 2.4809 0.0000
0.0000 0.0000 9.8000
Ru Au Cl
2 1 1
Cartesian
0.0000 0.0000 0.0000 Ru
1.4115 0.0000 2.1347 Ru
1.4115 0.0000 7.2921 Au
0.0000 0.0000 4.1351 Cl
```

Values from the calculation:
The formation energy without anion corrections is 48 kJ per mole of atoms. As for the space group: Cmm2 (35). As for the magnetization: 0.30 μB/atom.

=====

Record 4
Compound: RuAu2Cl
Source: the Alexandria database
Functional: PBE-GGA
Structure: optimized geometry

```
RuAu2Cl
1.0
2.9204 0.0000 0.0000
0.0000 4.5679 0.0000
0.0000 0.0000 5.4033
Ru Au Cl
1 2 1
Cartesian
0.0000 0.0000 0.0000 Ru
0.0000 2.2839 2.7016 Au
1.4602 0.0000 2.7016 Au
1.4602 2.2839 0.0000 Cl
```

Values from the calculation:
The formation energy without anion corrections is 61 kJ per mole of atoms. As for the space group: Pmmm (47). As for the magnetization: 0.33 μB/atom.

=====

Record 5
Compound: Ru2AuCl
Source: the Alexandria database
Functional: PBE-GGA
Structure: optimized geometry

```
Ru2AuCl
1.0
-1.4042 2.3960 4.9239
1.4042 -2.3960 4.9239
1.4042 2.3960 -4.9239
Ru Au Cl
2 1 1
Cartesian
0.0000 0.0000 0.0000 Ru
0.0000 2.3960 2.8039 Ru
1.4042 0.0000 2.6602 Au
0.0000 0.0000 5.5080 Cl
```

Values from the calculation:
The formation energy without anion corrections is 67 kJ per mole of atoms. As for the space group: Imm2 (44). As for the magnetization: 0.40 μB/atom.

=====

Record 6
Compound: Ru2AuCl
Source: the Alexandria database
Functional: PBE-GGA
Structure: optimized geometry

```
Ru2AuCl
1.0
2.7999 0.0000 0.0000
0.0000 4.6304 0.0000
0.0000 0.0000 5.0390
Ru Au Cl
2 1 1
Cartesian
0.0000 0.0000 0.0000 Ru
1.4000 0.0000 2.5195 Ru
0.0000 2.3152 2.5195 Au
1.4000 2.3152 0.0000 Cl
```

Values from the calculation:
The formation energy without anion corrections is 88 kJ per mole of atoms. As for the space group: Pmmm (47). As for the magnetization: 0.32 μB/atom.

=====

Record 7
Compound: Ru2AuCl
Source: the Alexandria database
Functional: PBE-GGA
Structure: optimized geometry

```
Ru2AuCl
1.0
2.8780 0.0000 0.0000
0.0000 2.8790 0.0000
-0.0366 0.0000 8.4227
Ru Au Cl
2 1 1
Cartesian
0.0000 0.0000 0.0000 Ru
1.4028 1.4395 6.8348 Ru
1.4410 1.4395 2.0426 Au
1.4049 0.0000 4.9047 Cl
```

Values from the calculation:
The formation energy without anion corrections is 20 kJ per mole of atoms. As for the space group: Pm (6). As for the magnetization: 0.00 μB/atom.

=====

Record 8
Compound: Ru2AuCl
Source: the Alexandria database
Functional: PBE-GGA
Structure: optimized geometry

```
Ru2AuCl
1.0
2.8924 -4.5328 0.0000
2.8924 4.5328 0.0000
-1.3654 0.0000 2.4866
Ru Au Cl
2 1 1
Cartesian
1.4462 2.2664 0.0000 Ru
1.4462 -2.2664 0.0000 Ru
-0.6827 0.0000 1.2433 Au
2.2097 0.0000 1.2433 Cl
```

Values from the calculation:
The formation energy without anion corrections is 92 kJ per mole of atoms. As for the space group: C2/m (12). As for the magnetization: 0.34 μB/atom.

=====

Record 9
Compound: RuAuCl
Source: the Alexandria database
Functional: PBE-GGA
Structure: optimized geometry

```
RuAuCl
1.0
-1.5076 1.5076 6.4449
1.5076 -1.5076 6.4449
1.5076 1.5076 -6.4449
Ru Au Cl
1 1 1
Cartesian
0.0000 0.0000 0.0000 Ru
0.0000 0.0000 4.6163 Au
0.0000 0.0000 8.0653 Cl
```

Values from the calculation:
The formation energy without anion corrections is 50 kJ per mole of atoms. As for the space group: I4mm (107). As for the magnetization: 0.91 μB/atom.

=====

Record 10
Compound: Ru2AuCl
Source: the Alexandria database
Functional: PBE-GGA
Structure: optimized geometry

```
Ru2AuCl
1.0
-2.1762 2.1762 7.9915
2.1762 -2.1762 7.9915
2.1762 2.1762 -7.9915
Ru Au Cl
4 2 2
Cartesian
3.2643 0.5969 -1.9979 Ru
0.5969 1.0881 1.9979 Ru
-1.0881 1.5792 5.9936 Ru
1.5792 1.0881 9.9894 Ru
2.1762 0.0000 3.9957 Au
0.0000 0.0000 7.9915 Au
0.0000 0.0000 0.0000 Cl
0.0000 2.1762 3.9957 Cl
```

Values from the calculation:
The formation energy without anion corrections is 89 kJ per mole of atoms. As for the space group: I-42d (122). As for the magnetization: 0.00 μB/atom.

=====

Record 11
Compound: RuAu2Cl
Source: the Alexandria database
Functional: PBE-GGA
Structure: optimized geometry

```
RuAu2Cl
1.0
2.9835 0.0000 0.0000
0.0000 3.0657 0.0000
-0.0257 0.0000 8.1067
Ru Au Cl
1 2 1
Cartesian
0.0000 0.0000 0.0000 Ru
1.4648 1.5328 6.2663 Au
1.4930 1.5328 1.8404 Au
1.4789 0.0000 4.0534 Cl
```

Values from the calculation:
The formation energy without anion corrections is 38 kJ per mole of atoms. As for the space group: P2/m (10). As for the magnetization: 0.53 μB/atom.

=====

Record 12
Compound: Ru3AuCl
Source: the Alexandria database
Functional: PBE-GGA
Structure: optimized geometry

```
Ru3AuCl
1.0
5.0145 0.0000 0.0000
0.0000 5.0145 0.0000
0.0000 0.0000 5.0145
Ru Au Cl
3 1 1
Cartesian
0.0000 0.0000 2.5072 Ru
0.0000 2.5072 0.0000 Ru
2.5072 0.0000 0.0000 Ru
0.0000 0.0000 0.0000 Au
2.5072 2.5072 2.5072 Cl
```

Values from the calculation:
The formation energy without anion corrections is 203 kJ per mole of atoms. As for the space group: Pm-3m (221). As for the magnetization: 1.64 μB/atom.

=====

Record 13
Compound: RuAu2Cl
Source: the Alexandria database
Functional: PBE-GGA
Structure: optimized geometry

```
RuAu2Cl
1.0
1.4877 -2.5693 0.0000
1.4877 2.5693 0.0000
0.0000 0.0000 9.2391
Ru Au Cl
1 2 1
Cartesian
0.0000 0.0000 0.0000 Ru
1.4877 0.0000 2.2890 Au
1.4877 0.0000 6.9502 Au
0.0000 0.0000 4.6196 Cl
```

Values from the calculation:
The formation energy without anion corrections is 46 kJ per mole of atoms. As for the space group: Cmmm (65). As for the magnetization: 0.34 μB/atom.

=====

Record 14
Compound: Ru4AuCl
Source: the Alexandria database
Functional: PBE-GGA
Structure: optimized geometry

```
Ru4AuCl
1.0
0.0000 3.6860 3.6860
3.6860 0.0000 3.6860
3.6860 3.6860 0.0000
Ru Au Cl
4 1 1
Cartesian
2.7694 2.7694 2.7694 Ru
4.6026 4.6026 2.7694 Ru
4.6026 2.7694 4.6026 Ru
2.7694 4.6026 4.6026 Ru
0.0000 0.0000 0.0000 Au
5.5290 5.5290 5.5290 Cl
```

Values from the calculation:
The formation energy without anion corrections is 101 kJ per mole of atoms. As for the space group: F-43m (216). As for the magnetization: 0.72 μB/atom.

=====

Record 15
Compound: Ru2AuCl
Source: the Alexandria database
Functional: PBE-GGA
Structure: optimized geometry

```
Ru2AuCl
1.0
1.4009 -2.5073 0.0000
1.4009 2.5073 0.0000
0.0000 0.0000 8.9708
Ru Au Cl
2 1 1
Cartesian
0.0000 0.0000 2.0623 Ru
0.0000 0.0000 6.9085 Ru
1.4009 0.0000 4.4854 Au
1.4009 0.0000 0.0000 Cl
```

Values from the calculation:
The formation energy without anion corrections is 68 kJ per mole of atoms. As for the space group: Cmmm (65). As for the magnetization: 0.00 μB/atom.

=====

Record 16
Compound: Ru2AuCl
Source: the Alexandria database
Functional: PBE-GGA
Structure: optimized geometry

```
Ru2AuCl
1.0
1.4393 0.8310 9.2893
-1.4393 0.8310 9.2893
0.0000 -1.6620 9.2893
Ru Au Cl
2 1 1
Cartesian
0.0000 0.0000 0.0000 Ru
0.0000 0.0000 7.3408 Ru
0.0000 0.0000 20.9872 Au
0.0000 0.0000 14.6897 Cl
```

Values from the calculation:
The formation energy without anion corrections is 28 kJ per mole of atoms. As for the space group: R3m (160). As for the magnetization: 0.00 μB/atom.

=====

Record 17
Compound: RuAu2Cl
Source: the Alexandria database
Functional: PBE-GGA
Structure: optimized geometry

```
RuAu2Cl
1.0
1.4326 -2.5781 0.0000
1.4326 2.5781 0.0000
0.0000 0.0000 10.2114
Ru Au Cl
1 2 1
Cartesian
0.0000 0.0000 0.0000 Ru
0.0000 0.0000 4.9152 Au
1.4326 0.0000 2.3653 Au
1.4326 0.0000 8.3695 Cl
```

Values from the calculation:
The formation energy without anion corrections is 32 kJ per mole of atoms. As for the space group: Cmm2 (35). As for the magnetization: 0.04 μB/atom.

=====

Record 18
Compound: RuAu2Cl
Source: the Alexandria database
Functional: PBE-GGA
Structure: optimized geometry

```
RuAu2Cl
1.0
3.8721 0.0000 0.0000
0.0000 3.8721 0.0000
0.0000 0.0000 4.8746
Ru Au Cl
1 2 1
Cartesian
0.0000 0.0000 0.0000 Ru
0.0000 1.9361 2.4373 Au
1.9361 0.0000 2.4373 Au
1.9361 1.9361 0.0000 Cl
```

Values from the calculation:
The formation energy without anion corrections is 70 kJ per mole of atoms. As for the space group: P4/mmm (123). As for the magnetization: 0.55 μB/atom.

=====

Record 19
Compound: RuAu2Cl
Source: the Alexandria database
Functional: PBE-GGA
Structure: optimized geometry

```
RuAu2Cl
1.0
2.9651 0.0000 0.0000
0.0000 2.9651 0.0000
0.0000 0.0000 8.6126
Ru Au Cl
1 2 1
Cartesian
0.0000 0.0000 0.0000 Ru
0.0000 0.0000 3.9638 Au
1.4825 1.4825 1.9191 Au
1.4825 1.4825 6.9947 Cl
```

Values from the calculation:
The formation energy without anion corrections is 38 kJ per mole of atoms. As for the space group: P4mm (99). As for the magnetization: 0.59 μB/atom.

=====

Record 20
Compound: RuAu2Cl
Source: the Alexandria database
Functional: PBE-GGA
Structure: optimized geometry

```
RuAu2Cl
1.0
3.0279 0.0000 0.0000
0.0000 3.0279 0.0000
0.0000 0.0000 7.9077
Ru Au Cl
1 2 1
Cartesian
0.0000 0.0000 0.0000 Ru
1.5139 1.5139 1.8413 Au
1.5139 1.5139 6.0663 Au
0.0000 0.0000 3.9538 Cl
```

Values from the calculation:
The formation energy without anion corrections is 44 kJ per mole of atoms. As for the space group: P4/mmm (123). As for the magnetization: 0.60 μB/atom.